No. 1
Computed, not measured: an optimized crystal structure of Ti2ZnRe at the PBE level of DFT.

Unit cell a=5.659 b=5.659 c=5.659 alpha=102.64 beta=102.64 gamma=124.21
Fractional positions:
Ti 0.111 0.625 0.986
Ti 0.375 0.361 0.486
Ti 0.639 0.125 0.014
Ti 0.875 0.889 0.514
Zn 0.250 0.750 0.500
Zn 0.500 0.500 0.000
Re 0.000 0.000 0.000
Re 0.750 0.250 0.500

Calculated values
calculated formation energy: 0.288 eV/atom
space-group type: I-42d, No. 122

***

No. 2
Computed, not measured: an optimized crystal structure of Pm2BeRhO6 at the PBE level of DFT.

Unit cell a=5.368 b=5.542 c=9.219 alpha=90.00 beta=125.52 gamma=90.00
Fractional positions:
Pm 0.239 0.058 0.251
Pm 0.239 0.442 0.751
Pm 0.761 0.558 0.249
Pm 0.761 0.942 0.749
Be 0.500 0.000 0.000
Be 0.500 0.500 0.500
Rh 0.000 0.000 0.500
Rh 0.000 0.500 0.000
O 0.170 0.200 0.958
O 0.170 0.300 0.458
O 0.258 0.715 0.955
O 0.258 0.785 0.455
O 0.345 0.016 0.764
O 0.345 0.484 0.264
O 0.655 0.516 0.736
O 0.655 0.984 0.236
O 0.742 0.215 0.545
O 0.742 0.285 0.045
O 0.830 0.700 0.542
O 0.830 0.800 0.042

Calculated values
space-group type: P2_1/c, No. 14
formation energy without anion corrections: -2354 meV per atom

***

No. 3
Computed, not measured: an optimized crystal structure of LaGeAs2Pd at the PBE level of DFT.

Unit cell a=5.214 b=5.214 c=4.754 alpha=90.00 beta=90.00 gamma=90.00
Fractional positions:
La 0.000 0.000 0.000
Ge 0.500 0.500 0.500
As 0.000 0.500 0.500
As 0.500 0.000 0.500
Pd 0.500 0.500 0.000

Calculated values
calculated formation energy: -0.289 eV/atom
space-group type: P4/mmm, No. 123

***

No. 4
Computed, not measured: an optimized crystal structure of Pm2MgGe2 at the PBE level of DFT.

Unit cell a=7.435 b=7.435 c=4.362 alpha=90.00 beta=90.00 gamma=90.00
Fractional positions:
Pm 0.178 0.322 0.000
Pm 0.322 0.822 0.000
Pm 0.678 0.178 0.000
Pm 0.822 0.678 0.000
Mg 0.000 0.000 0.500
Mg 0.500 0.500 0.500
Ge 0.122 0.622 0.500
Ge 0.378 0.122 0.500
Ge 0.622 0.878 0.500
Ge 0.878 0.378 0.500

Calculated values
calculated formation energy: -0.780 eV/atom
space-group type: P4/mbm, No. 127

***

No. 5
Computed, not measured: an optimized crystal structure of YTl2Zn at the PBE level of DFT.

Unit cell a=5.823 b=5.823 c=5.823 alpha=134.26 beta=134.26 gamma=66.68
Fractional positions:
Y 0.000 0.000 0.000
Tl 0.500 0.500 0.000
Tl 0.750 0.250 0.500
Zn 0.250 0.750 0.500

Calculated values
calculated formation energy: -0.137 eV/atom
space-group type: I-4m2, No. 119

***

No. 6
Computed, not measured: an optimized crystal structure of Ca2SeBr at the PBE level of DFT.

Unit cell a=7.780 b=7.780 c=7.780 alpha=150.72 beta=149.87 gamma=42.51
Fractional positions:
Ca 0.000 0.000 0.000
Ca 0.790 0.290 0.500
Se 0.352 0.852 0.500
Br 0.611 0.611 0.000

Calculated values
space-group type: Imm2, No. 44
formation energy without anion corrections: -1545 meV per atom

***

No. 7
Computed, not measured: an optimized crystal structure of Ba2TbPrO6 at the PBE level of DFT.

Unit cell a=6.382 b=6.382 c=6.382 alpha=60.00 beta=60.00 gamma=60.00
Fractional positions:
Ba 0.250 0.250 0.250
Ba 0.750 0.750 0.750
Tb 0.000 0.000 0.000
Pr 0.500 0.500 0.500
O 0.245 0.245 0.755
O 0.245 0.755 0.245
O 0.245 0.755 0.755
O 0.755 0.245 0.245
O 0.755 0.245 0.755
O 0.755 0.755 0.245

Calculated values
space-group type: Fm-3m, No. 225
formation energy without anion corrections: -2569 meV per atom

***

No. 8
Computed, not measured: an optimized crystal structure of MgTaP at the PBE level of DFT.

Unit cell a=4.224 b=4.224 c=4.224 alpha=60.00 beta=60.00 gamma=60.00
Fractional positions:
Mg 0.000 0.000 0.000
Ta 0.500 0.500 0.500
P 0.250 0.250 0.250

Calculated values
calculated formation energy: 0.090 eV/atom
space-group type: F-43m, No. 216